! GGA-PBE Sr2CuBi, relaxed; values from VASP
&SYSTEM
  ibrav = 0, nat = 4, ntyp = 3
/
ATOMIC_SPECIES
Sr 87.62 Sr.upf
Cu 63.55 Cu.upf
Bi 208.98 Bi.upf
ATOMIC_POSITIONS crystal
Sr 0.000 0.000 0.000
Sr 0.250 0.250 0.250
Cu 0.750 0.750 0.750
Bi 0.500 0.500 0.500
CELL_PARAMETERS angstrom
0.000 3.977 3.977
3.977 0.000 3.977
3.977 3.977 0.000
! E	-2.80	eV/atom
! SG	F-43m (216)
! ρ	5.9	g/cm³

=====

! GGA-PBE TaCuBi2, relaxed; values from VASP
&SYSTEM
  ibrav = 0, nat = 4, ntyp = 3
/
ATOMIC_SPECIES
Ta 180.95 Ta.upf
Cu 63.55 Cu.upf
Bi 208.98 Bi.upf
ATOMIC_POSITIONS crystal
Ta 0.000 0.000 0.000
Cu 0.750 0.750 0.750
Bi 0.250 0.250 0.250
Bi 0.500 0.500 0.500
CELL_PARAMETERS angstrom
0.000 3.576 3.576
3.576 0.000 3.576
3.576 3.576 0.000
! E	-5.06	eV/atom
! SG	F-43m (216)
! ρ	12.0	g/cm³
! magnetization	0.00	μB/f.u.

=====

! GGA-PBE Ta2CuBi, relaxed; values from VASP
&SYSTEM
  ibrav = 0, nat = 4, ntyp = 3
/
ATOMIC_SPECIES
Ta 180.95 Ta.upf
Cu 63.55 Cu.upf
Bi 208.98 Bi.upf
ATOMIC_POSITIONS crystal
Ta 0.000 0.000 0.000
Ta 0.250 0.250 0.250
Cu 0.750 0.750 0.750
Bi 0.500 0.500 0.500
CELL_PARAMETERS angstrom
0.000 3.360 3.360
3.360 0.000 3.360
3.360 3.360 0.000
! E	-7.18	eV/atom
! SG	F-43m (216)
! ρ	13.9	g/cm³
! magnetization	0.01	μB/f.u.

=====

! GGA-PBE TaCu2Bi, relaxed; values from VASP
&SYSTEM
  ibrav = 0, nat = 4, ntyp = 3
/
ATOMIC_SPECIES
Ta 180.95 Ta.upf
Cu 63.55 Cu.upf
Bi 208.98 Bi.upf
ATOMIC_POSITIONS crystal
Ta 0.000 0.000 0.000
Cu 0.250 0.250 0.250
Cu 0.500 0.500 0.500
Bi 0.750 0.750 0.750
CELL_PARAMETERS angstrom
0.000 3.289 3.289
3.289 0.000 3.289
3.289 3.289 0.000
! E	-5.17	eV/atom
! SG	F-43m (216)
! ρ	12.1	g/cm³
! magnetization	0.45	μB/f.u.

=====

! GGA-PBE TaCuBiW, relaxed; values from VASP
&SYSTEM
  ibrav = 0, nat = 4, ntyp = 4
/
ATOMIC_SPECIES
Ta 180.95 Ta.upf
Cu 63.55 Cu.upf
Bi 208.98 Bi.upf
W 183.84 W.upf
ATOMIC_POSITIONS crystal
Ta 0.000 0.000 0.000
Cu 0.750 0.750 0.750
Bi 0.500 0.500 0.500
W 0.250 0.250 0.250
CELL_PARAMETERS angstrom
0.000 3.312 3.312
3.312 0.000 3.312
3.312 3.312 0.000
! energy above the most stable polymorph in this dataset	0.0	meV per atom
! SG	F-43m (216)
! ρ	14.6	g/cm³
! magnetization	0.01	μB/f.u.

=====

! GGA-PBE YTaCuBi, relaxed; values from VASP
&SYSTEM
  ibrav = 0, nat = 4, ntyp = 4
/
ATOMIC_SPECIES
Y 88.91 Y.upf
Ta 180.95 Ta.upf
Cu 63.55 Cu.upf
Bi 208.98 Bi.upf
ATOMIC_POSITIONS crystal
Y 0.000 0.000 0.000
Ta 0.750 0.750 0.750
Cu 0.250 0.250 0.250
Bi 0.500 0.500 0.500
CELL_PARAMETERS angstrom
0.000 3.525 3.525
3.525 0.000 3.525
3.525 3.525 0.000
! energy above the most stable polymorph in this dataset	0.0	meV per atom
! SG	F-43m (216)
! ρ	10.3	g/cm³
! magnetization	1.17	μB/f.u.

=====

! GGA-PBE Cu2TcBi, relaxed; values from VASP
&SYSTEM
  ibrav = 0, nat = 4, ntyp = 3
/
ATOMIC_SPECIES
Cu 63.55 Cu.upf
Tc 98.00 Tc.upf
Bi 208.98 Bi.upf
ATOMIC_POSITIONS crystal
Cu 0.000 0.000 0.000
Cu 0.250 0.250 0.250
Tc 0.750 0.750 0.750
Bi 0.500 0.500 0.500
CELL_PARAMETERS angstrom
0.000 3.186 3.186
3.186 0.000 3.186
3.186 3.186 0.000
! E	-4.92	eV/atom
! SG	F-43m (216)
! ρ	11.1	g/cm³
! magnetization	0.00	μB/f.u.

=====

! GGA-PBE CuTcBi2, relaxed; values from VASP
&SYSTEM
  ibrav = 0, nat = 4, ntyp = 3
/
ATOMIC_SPECIES
Cu 63.55 Cu.upf
Tc 98.00 Tc.upf
Bi 208.98 Bi.upf
ATOMIC_POSITIONS crystal
Cu 0.000 0.000 0.000
Tc 0.750 0.750 0.750
Bi 0.250 0.250 0.250
Bi 0.500 0.500 0.500
CELL_PARAMETERS angstrom
0.000 3.492 3.492
3.492 0.000 3.492
3.492 3.492 0.000
! E	-4.65	eV/atom
! SG	F-43m (216)
! ρ	11.3	g/cm³
! magnetization	1.80	μB/f.u.